No. 1
Below is a geometry-optimized AcNpNb structure, with properties calculated at the PBE level.

Summary:
Its offset from the most stable computed form is 0.0000 eV/atom. The value obtained for the energy of formation is 1103.8 meV per atom. Its crystal system is cubic.

a = 4.9772 Å, b = 4.9772 Å, c = 4.9772 Å
α = 60.00°, β = 60.00°, γ = 60.00°
Site moments in Bohr magnetons follow the coordinates.
Atoms (fractional coordinates):
Ac  0.2500  0.2500  0.2500  -0.03
Nb  0.0000  0.0000  0.0000  -0.55
Np  0.7500  0.7500  0.7500  3.61

No. 2
Below is a geometry-optimized Ac2Nb2O5 structure, with properties calculated at the PBE level.

Summary:
Its offset from the most stable computed form is 1.5237 eV/atom. Its crystal system is tetragonal.

a = 7.4937 Å, b = 4.6624 Å, c = 4.6624 Å
α = 90.00°, β = 90.00°, γ = 90.00°
Site moments in Bohr magnetons follow the coordinates.
Atoms (fractional coordinates):
Ac  0.7863  0.5000  0.5000  0.05
Ac  0.2137  0.5000  0.5000  0.05
O  0.7427  0.5000  0.0000  -0.07
O  0.2573  0.0000  0.5000  -0.07
O  0.5000  0.5000  0.5000  -0.01
O  0.7427  0.0000  0.5000  -0.07
O  0.2573  0.5000  0.0000  -0.07
Nb  0.5000  0.0000  0.0000  2.34
Nb  0.0000  0.0000  0.0000  2.69

No. 3
Below is a geometry-optimized AcNbO3 structure, with properties calculated at the PBE level.

Summary:
Its crystal system is tetragonal. Its total energy is -39.31 eV per cell.

a = 3.6602 Å, b = 3.6602 Å, c = 5.6553 Å
α = 90.00°, β = 90.00°, γ = 90.00°
Atoms (fractional coordinates):
Nb  0.0000  0.0000  0.9055
O  0.0000  0.5000  0.7385
O  0.5000  0.0000  0.7385
O  0.5000  0.5000  0.0638
Ac  0.5000  0.5000  0.4537

No. 4
Below is a geometry-optimized Ac2Nb2O5 structure, with properties calculated at the PBE level.

Summary:
Its offset from the most stable computed form is 0.0000 eV/atom. Its crystal system is tetragonal.

a = 7.4033 Å, b = 4.1599 Å, c = 4.1599 Å
α = 90.00°, β = 90.00°, γ = 90.00°
Atoms (fractional coordinates):
O  0.7564  0.5000  0.0000
O  0.2436  0.5000  0.0000
O  0.7564  0.0000  0.5000
O  0.5000  0.5000  0.5000
O  0.2436  0.0000  0.5000
Nb  0.2001  0.5000  0.5000
Nb  0.7999  0.5000  0.5000
Ac  0.0000  0.0000  0.0000
Ac  0.5000  0.0000  0.0000

No. 5
Below is a geometry-optimized AcNbO3 structure, with properties calculated at the PBE level.

Summary:
Its crystal system is trigonal. Its total energy is -84.00 eV per cell.

a = 5.3890 Å, b = 5.3890 Å, c = 6.3535 Å
α = 64.91°, β = 64.91°, γ = 60.00°
Site moments in Bohr magnetons follow the coordinates.
Atoms (fractional coordinates):
O  0.5909  0.0780  0.7428  0.02
O  0.4117  0.4091  0.2572  0.03
O  0.4091  0.9220  0.2572  0.02
O  0.0780  0.5883  0.7428  0.03
O  0.9220  0.4117  0.2572  0.03
O  0.5883  0.5909  0.7428  0.03
Ac  0.8837  0.8837  0.3488  0.06
Ac  0.1163  0.1163  0.6512  0.06
Nb  0.6636  0.6636  0.0092  0.28
Nb  0.3364  0.3364  0.9908  0.28

No. 6
Below is a geometry-optimized AcNbO3 structure, with properties calculated at the PBE level.

Summary:
Its crystal system is trigonal. Its total energy is -84.02 eV per cell.

a = 5.3900 Å, b = 5.3900 Å, c = 6.3684 Å
α = 64.96°, β = 64.96°, γ = 60.00°
Site moments in Bohr magnetons follow the coordinates.
Atoms (fractional coordinates):
Nb  0.8368  0.8368  0.4897  0.28
Nb  0.1632  0.1632  0.5103  0.28
O  0.9105  0.4229  0.7566  0.02
O  0.0900  0.0895  0.2434  0.03
O  0.4229  0.9100  0.7566  0.03
O  0.0895  0.5771  0.2434  0.02
O  0.5771  0.0900  0.2434  0.03
O  0.9100  0.9105  0.7566  0.03
Ac  0.3836  0.3836  0.8493  0.06
Ac  0.6164  0.6164  0.1507  0.06

No. 7
Below is a geometry-optimized AcNbPb structure, with properties calculated at the PBE level.

Summary:
Its offset from the most stable computed form is 0.0000 eV/atom. Its crystal system is cubic.

a = 5.1910 Å, b = 5.1910 Å, c = 5.1910 Å
α = 60.00°, β = 60.00°, γ = 60.00°
Site moments in Bohr magnetons follow the coordinates.
Atoms (fractional coordinates):
Nb  0.0000  0.0000  0.0000  2.40
Pb  0.7500  0.7500  0.7500  -0.07
Ac  0.2500  0.2500  0.2500  0.38

No. 8
Below is a geometry-optimized AcNbPb structure, with properties calculated at the PBE level.

Summary:
Its offset from the most stable computed form is 0.4788 eV/atom. Its crystal system is cubic.

a = 5.3928 Å, b = 5.3928 Å, c = 5.3928 Å
α = 60.00°, β = 60.00°, γ = 60.00°
Atoms (fractional coordinates):
Nb  0.2500  0.2500  0.2500
Pb  0.7500  0.7500  0.7500
Ac  0.0000  0.0000  0.0000

No. 9
Below is a geometry-optimized AcNbPd structure, with properties calculated at the PBE level.

Summary:
Its offset from the most stable computed form is 0.0000 eV/atom. The value obtained for the energy of formation is 414.8 meV per atom. Its crystal system is cubic.

a = 4.9201 Å, b = 4.9201 Å, c = 4.9201 Å
α = 60.00°, β = 60.00°, γ = 60.00°
Site moments in Bohr magnetons follow the coordinates.
Atoms (fractional coordinates):
Ac  0.2500  0.2500  0.2500  0.17
Nb  0.7500  0.7500  0.7500  2.02
Pd  0.0000  0.0000  0.0000  0.18

No. 10
Below is a geometry-optimized AcPmNb structure, with properties calculated at the PBE level.

Summary:
Its offset from the most stable computed form is 0.0000 eV/atom. The value obtained for the energy of formation is 789.5 meV per atom. Its crystal system is cubic.

a = 5.2576 Å, b = 5.2576 Å, c = 5.2576 Å
α = 60.00°, β = 60.00°, γ = 60.00°
Site moments in Bohr magnetons follow the coordinates.
Atoms (fractional coordinates):
Pm  0.0000  0.0000  0.0000  0.11
Ac  0.5000  0.5000  0.5000  0.06
Nb  0.2500  0.2500  0.2500  1.19

No. 11
Below is a geometry-optimized AcPrNb structure, with properties calculated at the PBE level.

Summary:
Its offset from the most stable computed form is 0.0000 eV/atom. The value obtained for the energy of formation is 784.8 meV per atom. Its crystal system is cubic.

a = 5.2748 Å, b = 5.2748 Å, c = 5.2748 Å
α = 60.00°, β = 60.00°, γ = 60.00°
Site moments in Bohr magnetons follow the coordinates.
Atoms (fractional coordinates):
Ac  0.2500  0.2500  0.2500  0.05
Pr  0.7500  0.7500  0.7500  0.08
Nb  0.0000  0.0000  0.0000  1.14

No. 12
Below is a geometry-optimized Ac2NbS3 structure, with properties calculated at the PBE level.

Summary:
Its crystal system is hexagonal. Its total energy is -35.34 eV per cell.

a = 7.6117 Å, b = 7.6117 Å, c = 3.9651 Å
α = 90.00°, β = 90.00°, γ = 120.01°
Site moments in Bohr magnetons follow the coordinates.
Atoms (fractional coordinates):
Nb  0.0000  0.0000  0.0000  3.15
Ac  0.6667  0.3333  0.0000  0.03
Ac  0.3333  0.6667  0.0000  0.03
S  0.5000  0.0000  0.5000  0.03
S  0.0000  0.5000  0.5000  0.02
S  0.5000  0.5000  0.5000  0.03